[1]
Here is crystalline MgBe2In at its relaxed geometry from Alexandria. Energies are from GGA-PBEsol.

Cell lengths 2.8868, 2.8868, 7.4047 Å; angles 90.00, 90.00, 90.00 degrees
With the nearest neighbours (Å) after each atom.
Atoms (fractional coordinates):
Mg  0.0000  0.0000  0.0000  5 Be 2.72-2.79, 4 Mg 2.89
Be  0.0000  0.0000  0.3766  4 Be 2.27
Be  0.5000  0.5000  0.2435  4 Be 2.27
In  0.5000  0.5000  0.6525  4 In 2.89, 5 Be 2.89-3.03

## Properties
The total energy comes out at -2.84 eV per atom. The value obtained for the polymorph energy (0 for the lowest one) is 0.000 eV per atom. As for the formation energy: 0.33 eV per atom.

---

[2]
Here is crystalline MgBe2InRe at its relaxed geometry from Alexandria. Energies are from GGA-PBEsol.

Cell lengths 4.2552, 4.2552, 4.6987 Å; angles 90.00, 90.00, 90.00 degrees
With the nearest neighbours (Å) after each atom.
Atoms (fractional coordinates):
Mg  0.0000  0.0000  0.0000  4 Be 2.13, 2 Re 2.35
Be  0.0000  0.5000  0.0000  2 Mg 2.13
Be  0.5000  0.0000  0.0000  2 Mg 2.13
In  0.5000  0.5000  0.5000  4 Re 3.01, 8 Be 3.17
Re  0.0000  0.0000  0.5000  2 Mg 2.35

## Properties
The total energy comes out at -3.56 eV per atom. As for the formation energy: 1.65 eV per atom.

---

[3]
Here is crystalline MnBeIn at its relaxed geometry from Alexandria. Energies are from GGA-PBEsol.

Cell lengths 5.1265, 5.1265, 5.1265 Å; angles 146.92, 146.92, 47.48 degrees
With the nearest neighbours (Å) after each atom.
Atoms (fractional coordinates):
Mn  0.0000  0.0000  0.0000  4 Be 2.29
Be  0.3955  0.3955  0.0000  4 Mn 2.29
In  0.6952  0.6952  0.0000  5 Mn 2.76-2.86, 5 Be 2.79-2.81, 4 In 2.92

## Properties
The total energy comes out at -5.29 eV per atom. As for the formation energy: 0.30 eV per atom.

---

So what do the calculations give for D(E_F)? Going down the list: 1.5; 2.8; 2.4 states/eV/f.u..